VASP calculation (PBE) on a relaxed PuNiIr4 crystal.

Geometry as CIF:
```
data_PuNiIr4
_space_group_name_H-M_alt 'P m m a'
_space_group_IT_number 51
_cell_length_a 7.525
_cell_length_b 3.861
_cell_length_c 6.533
_cell_angle_alpha 90.00
_cell_angle_beta 90.00
_cell_angle_gamma 90.00
loop_
_space_group_symop_operation_xyz
'x,y,z'
'-x,-y,-z'
'-x+1/2,-y,z'
'x+1/2,y,-z'
'x+1/2,-y,-z'
'-x+1/2,y,z'
'-x,y,-z'
'x,-y,z'
loop_
_atom_site_label
_atom_site_fract_x
_atom_site_fract_y
_atom_site_fract_z
Pu1 0.250 0.000 0.137
Ni1 0.250 0.000 0.756
Ir1 0.000 0.000 0.500
Ir2 0.013 0.500 0.803
Ir3 0.250 0.500 0.482
```

Values from the calculation:
* total DFT energy (no corrections): -0.6731 Ry/atom
* N(E_F): 22.334 states/eV/cell
* total magnetization: 0.043 μB/cell